1.
# LiBrF

LiBrF after structural relaxation (GGA-PBE, the Alexandria database).

Cell and atoms, written as POSCAR:
```
LiBrF
1.0
-1.299 -1.830 1.673
0.229 -1.969 -1.976
6.191 -1.957 2.667
Li Br F
1 1 1
direct
0.500 0.500 0.500 Li
0.500 0.500 0.000 Br
0.000 0.000 0.500 F
```

Calculated values
Fermi-level density of states (states/eV/cell): 0.5


2.
# LiBrF

LiBrF after structural relaxation (GGA-PBE, the Alexandria database).

Cell and atoms, written as POSCAR:
```
LiBrF
1.0
-4.775 -2.372 -4.833
-1.628 -1.345 2.268
-0.616 2.922 -0.826
F Li Br
1 1 1
direct
0.167 0.000 0.000 F
0.167 0.333 0.667 Li
0.666 0.667 0.333 Br
```

Calculated values
Fermi-level density of states (states/eV/cell): 0.5


Top of the stability list: 1, leading by 70 meV per atom.


1.
# LiBr3F

LiBr3F after structural relaxation (GGA-PBE, the Alexandria database).

Cell and atoms, written as POSCAR:
```
LiBr3F
1.0
-1.393 -4.659 -0.699
2.437 -0.089 -4.265
4.032 -1.556 2.336
F Li Br
1 1 3
direct
0.500 0.500 0.500 F
0.000 0.000 0.000 Li
0.000 0.500 0.000 Br
0.500 0.000 0.000 Br
0.000 0.000 0.500 Br
```

Calculated values
Fermi-level density of states (states/eV/cell): 10.0


2.
# LiBr3F

LiBr3F after structural relaxation (GGA-PBE, the Alexandria database).

Cell and atoms, written as POSCAR:
```
LiBr3F
1.0
5.004 0.000 0.000
0.000 5.004 0.000
0.000 0.000 5.004
Li Br F
1 3 1
direct
0.500 0.500 0.500 Li
0.500 0.000 0.000 Br
0.000 0.500 0.000 Br
0.000 0.000 0.500 Br
0.000 0.000 0.000 F
```

Calculated values
Fermi-level density of states (states/eV/cell): 3.3


Top of the stability list: 2, leading by 88 meV per atom.


1.
# LiBrN2F

LiBrN2F after structural relaxation (GGA-PBE, the Alexandria database).

Cell and atoms, written as POSCAR:
```
LiBrN2F
1.0
3.796 0.000 0.000
0.000 3.796 0.000
0.000 0.000 5.278
N F Li Br
2 1 1 1
direct
0.000 0.500 0.000 N
0.500 0.000 0.000 N
0.000 0.000 0.500 F
0.500 0.500 0.500 Li
0.000 0.000 0.000 Br
```

Calculated values
Fermi-level density of states (states/eV/cell): 2.2


2.
# LiBrN2F

LiBrN2F after structural relaxation (GGA-PBE, the Alexandria database).

Cell and atoms, written as POSCAR:
```
LiBrN2F
1.0
3.999 0.000 0.000
0.000 3.999 0.000
0.000 0.000 3.475
F N Li Br
1 2 1 1
direct
0.000 0.000 0.500 F
0.500 0.000 0.000 N
0.000 0.500 0.000 N
0.000 0.000 0.000 Li
0.500 0.500 0.500 Br
```

Calculated values
Fermi-level density of states (states/eV/cell): 4.3


Top of the stability list: 1, leading by 292 meV per atom.


1.
# LiBrNF2

LiBrNF2 after structural relaxation (GGA-PBE, the Alexandria database).

Cell and atoms, written as POSCAR:
```
LiBrNF2
1.0
-2.948 -0.981 -1.548
-0.986 -1.623 2.905
-2.639 4.966 1.879
Br Li N F
1 1 1 2
direct
0.500 0.500 0.500 Br
0.000 0.000 0.000 Li
0.000 0.000 0.500 N
0.500 0.000 0.000 F
0.000 0.500 0.000 F
```

Calculated values
Fermi-level density of states (states/eV/cell): 2.2


2.
# LiBrNF2

LiBrNF2 after structural relaxation (GGA-PBE, the Alexandria database).

Cell and atoms, written as POSCAR:
```
LiBrNF2
1.0
-3.035 -1.209 -3.399
3.435 -2.325 -2.240
-0.859 -3.055 1.854
F Li Br N
2 1 1 1
direct
0.500 0.000 0.000 F
0.000 0.500 0.000 F
0.500 0.500 0.500 Li
0.000 0.000 0.000 Br
0.000 0.000 0.500 N
```

Calculated values
Fermi-level density of states (states/eV/cell): 2.2


Top of the stability list: 1, leading by 5 meV per atom.


1.
# Rb2LiBrF6

Rb2LiBrF6 after structural relaxation (GGA-PBE, the Alexandria database).

Cell and atoms, written as POSCAR:
```
Rb2LiBrF6
1.0
6.774 0.000 0.000
0.000 6.550 0.000
0.000 0.000 8.046
Rb F Li Br
4 12 2 2
direct
0.000 0.140 0.255 Rb
0.500 0.860 0.755 Rb
0.500 0.860 0.245 Rb
0.000 0.140 0.745 Rb
0.000 0.622 0.240 F
0.716 0.612 0.000 F
0.719 0.109 0.000 F
0.000 0.622 0.760 F
0.781 0.891 0.500 F
0.216 0.388 0.500 F
0.219 0.891 0.500 F
0.284 0.612 0.000 F
0.281 0.109 0.000 F
0.500 0.378 0.260 F
0.500 0.378 0.740 F
0.784 0.388 0.500 F
0.500 0.281 0.000 Li
0.000 0.719 0.500 Li
0.500 0.382 0.500 Br
0.000 0.618 0.000 Br
```

Calculated values
Fermi-level density of states (states/eV/cell): 0.0


2.
# Rb2LiBrF6

Rb2LiBrF6 after structural relaxation (GGA-PBE, the Alexandria database).

Cell and atoms, written as POSCAR:
```
Rb2LiBrF6
1.0
6.310 0.000 0.000
0.000 6.310 0.000
3.155 3.155 4.149
F Rb Br Li
6 2 1 1
direct
0.271 0.729 0.000 F
0.729 0.271 0.000 F
0.271 0.271 0.000 F
0.729 0.729 0.000 F
0.770 0.770 0.461 F
0.230 0.230 0.539 F
0.250 0.750 0.500 Rb
0.750 0.250 0.500 Rb
0.000 0.000 0.000 Br
0.500 0.500 0.000 Li
```

Calculated values
Fermi-level density of states (states/eV/cell): 0.0


Top of the stability list: 1, leading by 124 meV per atom.


1.
# LiSiBrF

LiSiBrF after structural relaxation (GGA-PBE, the Alexandria database).

Cell and atoms, written as POSCAR:
```
LiSiBrF
1.0
-0.669 3.293 -0.283
-2.989 -0.912 -3.570
-5.200 -0.864 2.123
Li Br F Si
1 1 1 1
direct
0.971 0.889 0.198 Li
0.472 0.533 0.566 Br
0.471 0.165 0.121 F
0.472 0.557 0.979 Si
```

Calculated values
Fermi-level density of states (states/eV/cell): 0.9


2.
# LiSiBrF

LiSiBrF after structural relaxation (GGA-PBE, the Alexandria database).

Cell and atoms, written as POSCAR:
```
LiSiBrF
1.0
-4.100 -3.835 -1.060
2.419 -2.200 -1.400
3.745 -1.701 9.147
F Li Br Si
2 2 2 2
direct
0.364 0.000 0.361 F
0.364 0.500 0.861 F
0.252 0.500 0.664 Li
0.252 0.000 0.164 Li
0.908 0.500 0.048 Br
0.908 0.000 0.548 Br
0.484 0.000 0.540 Si
0.484 0.500 0.040 Si
```

Calculated values
Fermi-level density of states (states/eV/cell): 1.7


3.
# LiSiBrF

LiSiBrF after structural relaxation (GGA-PBE, the Alexandria database).

Cell and atoms, written as POSCAR:
```
LiSiBrF
1.0
-0.176 -3.215 -5.076
2.937 -1.375 0.769
-3.886 -3.825 8.007
F Br Si Li
2 2 2 2
direct
0.048 0.000 0.029 F
0.048 0.500 0.529 F
0.627 0.000 0.144 Br
0.627 0.500 0.644 Br
0.215 0.500 0.418 Si
0.215 0.000 0.918 Si
0.938 0.500 0.096 Li
0.938 0.000 0.596 Li
```

Calculated values
Fermi-level density of states (states/eV/cell): 2.3


Top of the stability list: 2, leading by 11 meV per atom.


1.
# LiSiBrF

LiSiBrF after structural relaxation (GGA-PBE, the Alexandria database).

Cell and atoms, written as POSCAR:
```
LiSiBrF
1.0
3.563 -0.032 -0.007
-1.741 4.861 -0.006
-0.007 -2.282 5.295
Si Br Li F
1 1 1 1
direct
0.069 0.689 0.096 Si
0.211 0.970 0.543 Br
0.685 0.920 0.865 Li
0.892 0.336 0.093 F
```

Calculated values
Fermi-level density of states (states/eV/cell): 1.3


2.
# LiSiBrF

LiSiBrF after structural relaxation (GGA-PBE, the Alexandria database).

Cell and atoms, written as POSCAR:
```
LiSiBrF
1.0
-0.546 -1.955 2.248
2.796 -0.824 -2.114
3.406 4.924 5.098
Li Si F Br
1 1 1 1
direct
0.198 0.238 0.087 Li
0.756 0.349 0.492 Si
0.697 0.234 0.257 F
0.853 0.547 0.885 Br
```

Calculated values
Fermi-level density of states (states/eV/cell): 0.7


Top of the stability list: 1, leading by 51 meV per atom.


1.
# LiSnBrF

LiSnBrF after structural relaxation (GGA-PBE, the Alexandria database).

Cell and atoms, written as POSCAR:
```
LiSnBrF
1.0
3.475 -0.143 0.023
-0.177 3.474 -0.060
-1.606 -1.383 7.969
F Br Sn Li
1 1 1 1
direct
0.974 0.526 0.647 F
0.306 0.867 0.293 Br
0.066 0.610 0.909 Sn
0.863 0.425 0.417 Li
```

Calculated values
Fermi-level density of states (states/eV/cell): 0.4


2.
# LiSnBrF

LiSnBrF after structural relaxation (GGA-PBE, the Alexandria database).

Cell and atoms, written as POSCAR:
```
LiSnBrF
1.0
3.458 0.000 0.000
-1.729 2.995 0.000
0.000 0.000 7.514
Sn F Li Br
1 1 1 1
direct
0.667 0.333 0.798 Sn
0.667 0.333 0.116 F
0.333 0.667 0.214 Li
0.000 0.000 0.480 Br
```

Calculated values
Fermi-level density of states (states/eV/cell): 0.5


Top of the stability list: 2, leading by 29 meV per atom.


1.
# LiSnBrF

LiSnBrF after structural relaxation (GGA-PBE, the Alexandria database).

Cell and atoms, written as POSCAR:
```
LiSnBrF
1.0
3.446 0.000 0.000
-1.723 2.985 0.000
0.000 0.000 23.998
Br Sn F Li
3 3 3 3
direct
0.333 0.667 0.162 Br
0.000 0.000 0.496 Br
0.667 0.333 0.829 Br
0.667 0.333 0.402 Sn
0.000 0.000 0.069 Sn
0.333 0.667 0.736 Sn
0.333 0.667 0.624 F
0.000 0.000 0.958 F
0.667 0.333 0.291 F
0.333 0.667 0.275 Li
0.000 0.000 0.608 Li
0.667 0.333 0.942 Li
```

Calculated values
Fermi-level density of states (states/eV/cell): 1.4


2.
# LiSnBrF

LiSnBrF after structural relaxation (GGA-PBE, the Alexandria database).

Cell and atoms, written as POSCAR:
```
LiSnBrF
1.0
-3.741 0.250 2.678
-1.838 -1.386 -2.438
2.479 -5.537 1.280
Sn Li F Br
1 1 1 1
direct
0.395 0.000 0.428 Sn
0.757 0.500 0.043 Li
0.699 0.000 0.183 F
0.954 0.000 0.757 Br
```

Calculated values
Fermi-level density of states (states/eV/cell): 0.6


Top of the stability list: 1, leading by 26 meV per atom.


1.
# LiTlBrF

LiTlBrF after structural relaxation (GGA-PBE, the Alexandria database).

Cell and atoms, written as POSCAR:
```
LiTlBrF
1.0
-3.028 -0.641 -2.761
2.958 -2.862 0.530
-2.722 -1.598 6.420
Br Li F Tl
1 1 1 1
direct
0.559 0.988 0.560 Br
0.990 0.703 0.709 Li
0.167 0.793 0.979 F
0.616 0.518 0.155 Tl
```

Calculated values
Fermi-level density of states (states/eV/cell): 0.0


2.
# LiTlBrF

LiTlBrF after structural relaxation (GGA-PBE, the Alexandria database).

Cell and atoms, written as POSCAR:
```
LiTlBrF
1.0
-6.659 -0.020 -2.124
-0.812 -3.261 2.577
0.810 4.398 5.822
F Tl Br Li
2 2 2 2
direct
0.092 0.500 0.885 F
0.092 0.000 0.385 F
0.931 0.500 0.165 Tl
0.931 0.000 0.665 Tl
0.508 0.000 0.855 Br
0.508 0.500 0.355 Br
0.369 0.000 0.476 Li
0.369 0.500 0.976 Li
```

Calculated values
Fermi-level density of states (states/eV/cell): 0.0


Top of the stability list: 2, leading by 15 meV per atom.


1.
# MgBr3F

MgBr3F after structural relaxation (GGA-PBE, the Alexandria database).

Cell and atoms, written as POSCAR:
```
MgBr3F
1.0
4.960 0.000 0.000
0.000 4.960 0.000
0.000 0.000 4.960
Mg F Br
1 1 3
direct
0.500 0.500 0.500 Mg
0.000 0.000 0.000 F
0.000 0.500 0.000 Br
0.500 0.000 0.000 Br
0.000 0.000 0.500 Br
```

Calculated values
Fermi-level density of states (states/eV/cell): 3.4


2.
# MgBr3F

MgBr3F after structural relaxation (GGA-PBE, the Alexandria database).

Cell and atoms, written as POSCAR:
```
MgBr3F
1.0
-2.941 2.700 -3.366
-3.643 0.630 3.688
2.313 4.425 1.529
Br Mg F
3 1 1
direct
0.500 0.000 0.000 Br
0.000 0.000 0.500 Br
0.000 0.500 0.000 Br
0.000 0.000 0.000 Mg
0.500 0.500 0.500 F
```

Calculated values
Fermi-level density of states (states/eV/cell): 8.2


Top of the stability list: 2, leading by 397 meV per atom.


1.
# Mg3BrF

Mg3BrF after structural relaxation (GGA-PBE, the Alexandria database).

Cell and atoms, written as POSCAR:
```
Mg3BrF
1.0
-1.219 4.483 -1.380
-4.639 -1.363 -0.330
-0.693 1.238 4.634
Br Mg F
1 3 1
direct
0.500 0.500 0.500 Br
0.000 0.500 0.000 Mg
0.000 0.000 0.500 Mg
0.500 0.000 0.000 Mg
0.000 0.000 0.000 F
```

Calculated values
Fermi-level density of states (states/eV/cell): 2.1


2.
# Mg3BrF

Mg3BrF after structural relaxation (GGA-PBE, the Alexandria database).

Cell and atoms, written as POSCAR:
```
Mg3BrF
1.0
5.592 0.000 0.000
0.000 5.592 0.000
0.000 0.000 5.592
Mg F Br
3 1 1
direct
0.500 0.000 0.000 Mg
0.000 0.000 0.500 Mg
0.000 0.500 0.000 Mg
0.500 0.500 0.500 F
0.000 0.000 0.000 Br
```

Calculated values
Fermi-level density of states (states/eV/cell): 5.8


Top of the stability list: 1, leading by 747 meV per atom.